Record 1
Rb2GaRuF6, relaxed, DFT PBE-GGA; space-group type = No. 225; calculated volume = 180 Å³/cell; total DFT energy (no corrections) = -4.652 eV per atom; raw formation energy = -21.1 eV per formula unit
1.0
-3.409 -5.267 0.899
5.312 -3.456 -0.103
1.359 -3.868 4.834
Ru Ga Rb F
1 1 2 6
direct
0.000 0.000 0.000
0.500 0.500 0.000
0.750 0.250 0.500
0.250 0.750 0.500
0.228 0.228 0.545
0.772 0.772 0.455
0.228 0.228 0.000
0.772 0.772 0.000
0.772 0.228 0.000
0.228 0.772 0.000



Record 2
Tl4SiSe4, relaxed, DFT PBE-GGA; space-group type = No. 15; calculated volume = 1121 Å³/cell; total DFT energy (no corrections) = -3.669 eV per atom; raw formation energy = -4.2 eV per formula unit
1.0
-0.394 2.775 6.542
-2.429 -4.258 5.159
22.143 -8.137 8.792
Tl Si Se
16 4 16
direct
0.175 0.825 0.250
0.825 0.175 0.750
0.000 0.000 0.500
0.000 0.000 0.000
0.055 0.341 0.336
0.659 0.945 0.164
0.945 0.659 0.664
0.341 0.055 0.836
0.904 0.320 0.175
0.680 0.096 0.325
0.096 0.680 0.825
0.320 0.904 0.675
0.277 0.351 0.500
0.649 0.723 0.000
0.723 0.649 0.500
0.351 0.277 0.000
0.441 0.688 0.377
0.688 0.441 0.877
0.559 0.312 0.623
0.312 0.559 0.123
0.602 0.694 0.291
0.708 0.107 0.882
0.107 0.708 0.382
0.292 0.893 0.118
0.339 0.625 0.577
0.893 0.292 0.618
0.661 0.375 0.423
0.625 0.339 0.077
0.970 0.414 0.917
0.586 0.030 0.583
0.030 0.586 0.083
0.414 0.970 0.417
0.306 0.398 0.209
0.398 0.306 0.709
0.694 0.602 0.791
0.375 0.661 0.923



Record 3
TmPuSc, relaxed, DFT PBE-GGA; formation energy from the elements = 31 kJ/mol of formula units; space-group type = No. 107; calculated volume = 81 Å³/cell; total DFT energy (no corrections) = -8.272 eV per atom
1.0
-2.336 -1.544 1.902
1.775 -2.878 -0.156
3.787 4.060 4.936
Sc Tm Pu
1 1 1
direct
0.613 0.613 0.226
0.282 0.282 0.564
0.955 0.955 0.910



Record 4
Zr3P, relaxed, DFT PBE-GGA; formation energy from the elements = -228 kJ/mol of formula units; space-group type = No. 166; calculated volume = 87 Å³/cell; total DFT energy (no corrections) = -8.353 eV per atom
1.0
-3.888 -1.558 7.430
-1.554 -4.132 7.298
-0.613 -0.989 8.450
Zr P
3 1
direct
0.268 0.268 0.268
0.500 0.500 0.500
0.732 0.732 0.732
0.000 0.000 0.000



Record 5
Fe3PdPt2, relaxed, DFT PBE-GGA; formation energy from the elements = 229 kJ/mol of formula units; space-group type = No. 123; calculated volume = 95 Å³/cell; total DFT energy (no corrections) = -6.715 eV per atom
1.0
2.643 0.000 0.000
0.000 2.643 0.000
0.000 0.000 13.660
Fe Pd Pt
3 1 2
direct
0.000 0.000 0.000
0.000 0.000 0.173
0.000 0.000 0.827
0.500 0.500 0.500
0.500 0.500 0.307
0.500 0.500 0.693



Record 6
Tl7Hg3As2, relaxed, DFT PBE-GGA; formation energy from the elements = 44 kJ/mol of formula units; space-group type = No. 2; calculated volume = 365 Å³/cell; total DFT energy (no corrections) = -2.192 eV per atom
1.0
-1.357 4.042 1.334
-3.351 -2.223 3.207
9.260 1.228 13.137
Tl Hg As
7 3 2
direct
0.278 0.707 0.441
0.722 0.293 0.559
0.917 0.445 0.167
0.000 0.000 0.000
0.083 0.555 0.833
0.590 0.067 0.816
0.410 0.933 0.184
0.500 0.500 0.000
0.815 0.093 0.368
0.185 0.907 0.632
0.352 0.397 0.295
0.648 0.603 0.705



Record 7
CaAl2Te, relaxed, DFT PBE-GGA; space-group type = No. 6; calculated volume = 103 Å³/cell; total DFT energy (no corrections) = -3.492 eV per atom; raw formation energy = -1.3 eV per formula unit
1.0
-1.804 1.559 -3.177
-2.228 -3.626 -0.514
-3.915 2.901 3.646
Ca Te Al
1 1 2
direct
0.000 0.397 0.530
0.500 0.934 0.726
0.000 0.833 0.118
0.500 0.336 0.125



Record 8
HfSnTe2I, relaxed, DFT PBE-GGA; space-group type = No. 123; calculated volume = 183 Å³/cell; total DFT energy (no corrections) = -3.590 eV per atom; raw formation energy = 3.8 eV per formula unit
1.0
-3.057 -0.911 4.692
-4.424 -1.570 -3.187
1.812 -5.380 0.135
I Te Hf Sn
1 2 1 1
direct
0.000 0.000 0.500
0.000 0.500 0.000
0.500 0.000 0.000
0.500 0.500 0.500
0.000 0.000 0.000



Record 9
Y3Ga2Rh2, relaxed, DFT PBE-GGA; formation energy from the elements = -563 kJ/mol of formula units; space-group type = No. 57; calculated volume = 595 Å³/cell; total DFT energy (no corrections) = -6.570 eV per atom
1.0
-3.676 3.447 -2.359
3.062 -1.530 -7.008
-8.768 -10.416 -1.556
Y Ga Rh
12 8 8
direct
0.151 0.598 0.099
0.849 0.402 0.599
0.849 0.098 0.401
0.151 0.902 0.901
0.849 0.402 0.901
0.151 0.598 0.401
0.151 0.902 0.599
0.849 0.098 0.099
0.371 0.235 0.250
0.629 0.765 0.750
0.629 0.735 0.250
0.371 0.265 0.750
0.355 0.250 0.000
0.645 0.750 0.500
0.645 0.750 0.000
0.355 0.250 0.500
0.874 0.389 0.250
0.126 0.611 0.750
0.126 0.889 0.250
0.874 0.111 0.750
0.643 0.462 0.093
0.357 0.538 0.593
0.357 0.962 0.407
0.643 0.038 0.907
0.357 0.538 0.907
0.643 0.462 0.407
0.643 0.038 0.593
0.357 0.962 0.093



Record 10
Pm7In2Ga2, relaxed, DFT PBE-GGA; formation energy from the elements = -124 kJ/mol of formula units; space-group type = No. 12; calculated volume = 345 Å³/cell; total DFT energy (no corrections) = -4.188 eV per atom
1.0
6.629 0.001 -1.013
0.008 8.213 0.000
-1.424 -0.006 6.553
Pm In Ga
7 2 2
direct
0.000 0.299 0.500
0.500 0.701 0.000
0.000 0.701 0.500
0.500 0.299 0.000
0.000 0.000 0.000
0.500 0.719 0.500
0.500 0.281 0.500
0.701 0.000 0.299
0.299 0.000 0.701
0.834 0.500 0.834
0.166 0.500 0.166



Record 11
Mn2Tl3GeCl9, relaxed, DFT PBE-GGA; space-group type = No. 164; calculated volume = 403 Å³/cell; total DFT energy (no corrections) = -4.101 eV per atom; raw formation energy = -14.8 eV per formula unit
1.0
7.236 0.000 0.000
-3.618 6.267 0.000
0.000 0.000 8.894
Mn Tl Ge Cl
2 3 1 9
direct
0.333 0.667 0.164
0.667 0.333 0.836
0.333 0.667 0.678
0.000 0.000 0.000
0.667 0.333 0.322
0.000 0.000 0.500
0.829 0.171 0.674
0.829 0.659 0.674
0.341 0.171 0.674
0.659 0.829 0.326
0.171 0.341 0.326
0.171 0.829 0.326
0.500 0.000 0.000
0.000 0.500 0.000
0.500 0.500 0.000



Record 12
Ti2AgPt9, relaxed, DFT PBE-GGA; formation energy from the elements = -710 kJ/mol of formula units; space-group type = No. 123; calculated volume = 187 Å³/cell; total DFT energy (no corrections) = -6.697 eV per atom
1.0
3.966 0.000 0.000
0.000 3.966 0.000
0.000 0.000 11.882
Ti Ag Pt
2 1 9
direct
0.000 0.000 0.328
0.000 0.000 0.672
0.000 0.000 0.000
0.500 0.500 0.000
0.500 0.500 0.337
0.500 0.500 0.663
0.500 0.000 0.176
0.500 0.000 0.500
0.500 0.000 0.824
0.000 0.500 0.176
0.000 0.500 0.500
0.000 0.500 0.824



Record 13
Cs3Sn2I6, relaxed, DFT PBE-GGA; space-group type = No. 139; calculated volume = 600 Å³/cell; total DFT energy (no corrections) = -2.770 eV per atom; raw formation energy = -10.6 eV per formula unit
1.0
6.465 0.000 0.000
0.000 6.465 0.000
-3.232 -3.232 14.353
Cs Sn I
3 2 6
direct
0.000 0.000 0.000
0.830 0.830 0.660
0.170 0.170 0.340
0.408 0.408 0.817
0.592 0.592 0.183
0.086 0.586 0.172
0.586 0.086 0.172
0.914 0.414 0.828
0.414 0.914 0.828
0.695 0.695 0.390
0.305 0.305 0.610



Record 14
V3Te8Rh, relaxed, DFT PBE-GGA; space-group type = No. 12; calculated volume = 327 Å³/cell; total DFT energy (no corrections) = -5.282 eV per atom; raw formation energy = -3.5 eV per formula unit
1.0
-5.655 4.605 -0.520
-1.187 -7.157 0.930
2.772 4.144 6.558
V Te Rh
3 8 1
direct
0.500 0.000 0.000
0.500 0.500 0.000
0.000 0.500 0.000
0.252 0.504 0.757
0.748 0.496 0.243
0.250 0.005 0.761
0.755 0.005 0.761
0.755 0.510 0.761
0.245 0.490 0.239
0.245 0.995 0.239
0.750 0.995 0.239
0.000 0.000 0.000



Record 15
TcGeN, relaxed, DFT PBE-GGA; space-group type = No. 6; calculated volume = 82 Å³/cell; total DFT energy (no corrections) = -7.665 eV per atom; raw formation energy = 0.3 eV per formula unit
1.0
-4.774 1.104 -0.697
-0.322 -2.428 -1.642
-0.047 -3.230 4.786
Ge Tc N
2 2 2
direct
0.633 0.500 0.891
0.639 0.500 0.372
0.127 0.500 0.182
0.954 0.000 0.708
0.100 0.000 0.397
0.236 0.500 0.860



Record 16
SeSN2, relaxed, DFT PBE-GGA; space-group type = No. 227; calculated volume = 94 Å³/cell; total DFT energy (no corrections) = -4.529 eV per atom; raw formation energy = 6.1 eV per formula unit
1.0
5.112 0.000 0.000
0.000 5.112 0.000
2.556 2.556 3.614
S Se N
2 2 4
direct
0.500 0.500 0.000
0.250 0.750 0.500
0.000 0.000 0.000
0.750 0.250 0.500
0.375 0.125 0.250
0.375 0.625 0.250
0.375 0.625 0.750
0.875 0.625 0.750



Record 17
KNaCa2Hg, relaxed, DFT PBE-GGA; formation energy from the elements = -32 kJ/mol of formula units; space-group type = No. 123; calculated volume = 222 Å³/cell; total DFT energy (no corrections) = -1.411 eV per atom
1.0
-0.186 -1.951 -5.694
0.657 -5.669 1.921
-6.073 -0.570 0.394
K Na Ca Hg
1 1 2 1
direct
0.500 0.500 0.500
0.000 0.000 0.500
0.000 0.500 0.000
0.500 0.000 0.000
0.000 0.000 0.000